# Pr2Hg13

An optimized crystal structure of Pr2Hg13 (PBE, Alexandria).

Symmetry ... No. 166
Volume ... 28.1 Å³ per atom
D(E_F) ... 0.4824 states/eV/atom
DFT formation energy ... -0.123 eV/atom

abc: 8.3452 8.3452 8.4959
angles: 60.59 60.59 60.00
Fractional positions:
Hg: 0.9685 0.3556 0.3203
Hg: 0.1706 0.8105 0.2083
Hg: 0.6444 0.0315 0.6797
Hg: 0.5000 0.5000 0.5000
Hg: 0.3556 0.9685 0.3203
Hg: 0.1895 0.1895 0.7917
Hg: 0.6444 0.6444 0.6797
Hg: 0.3556 0.3556 0.3203
Hg: 0.1895 0.8294 0.7917
Hg: 0.8105 0.8105 0.2083
Hg: 0.8105 0.1706 0.2083
Hg: 0.8294 0.1895 0.7917
Hg: 0.0315 0.6444 0.6797
Pr: 0.3514 0.3514 0.9458
Pr: 0.6486 0.6486 0.0542

=====

# AlSiSnRu2

An optimized crystal structure of AlSiSnRu2 (PBE, Alexandria).

Symmetry ... No. 123
Volume ... 18.1 Å³ per atom
D(E_F) ... 0.6763 states/eV/atom
Uncorrected energy ... -5.87 eV/atom

abc: 4.4998 4.4775 4.4998
angles: 90.00 90.00 90.00
Fractional positions:
Ru: 0.5000 0.0000 0.0000
Ru: 0.0000 0.0000 0.5000
Al: 0.0000 0.5000 0.0000
Si: 0.0000 0.0000 0.0000
Sn: 0.5000 0.5000 0.5000

=====

# ZnSiSe2

An optimized crystal structure of ZnSiSe2 (PBE, Alexandria).

Symmetry ... No. 99
Volume ... 20.2 Å³ per atom
D(E_F) ... 0.2582 states/eV/atom
Uncorrected energy ... -3.62 eV/atom

abc: 3.7982 3.7982 5.5883
angles: 90.00 90.00 90.00
Fractional positions:
Si: 0.0000 0.0000 0.3965
Se: 0.5000 0.5000 0.3619
Se: 0.0000 0.0000 0.8368
Zn: 0.5000 0.5000 0.9048